This record from Alexandria describes a geometry-optimized Rb2GeAs2 structure. The functional is PBE.

Cell lengths 7.3065, 7.3065, 5.6608 Å; angles 90.00, 90.00, 90.00 degrees
Last column: nearest neighbours and their distance in Å.
Space group P4/mbm (No. 127)
Inequivalent atoms, fractional coordinates:
Rb (0.1822, 0.3178, 0.0000) (multiplicity 4)  6 As 3.50-3.62, 5 Rb 3.77-3.79, 4 Ge 3.90
Ge (0.0000, 0.0000, 0.5000) (multiplicity 2)  4 As 2.92
As (0.1192, 0.6192, 0.5000) (multiplicity 4)  1 As 2.46

Values from the calculation:
formation enthalpy at 0 K: -0.163 eV per atom
raw total energy: -33.34 eV for the cell shown
total magnetic moment: 0.00 μB per formula unit

This record from Alexandria describes a geometry-optimized NiPb structure. The functional is PBE.

Cell lengths 5.9321, 5.9321, 5.9321 Å; angles 90.00, 90.00, 90.00 degrees
Last column: nearest neighbours and their distance in Å.
Space group F-43m (No. 216)
Inequivalent atoms, fractional coordinates:
Ni (0.0000, 0.0000, 0.0000) (multiplicity 4)  4 Pb 2.57
Pb (0.2500, 0.2500, 0.7500) (multiplicity 4)  4 Ni 2.57

Values from the calculation:
formation enthalpy at 0 K: 0.604 eV per atom
raw total energy: -33.12 eV for the cell shown
total magnetic moment: 0.00 μB per formula unit

This record from Alexandria describes a geometry-optimized MgZrSi structure. The functional is PBE.

Cell lengths 4.0182, 4.0945, 7.1251 Å; angles 90.00, 90.00, 90.00 degrees
Last column: nearest neighbours and their distance in Å.
Space group Pmm2 (No. 25)
Inequivalent atoms, fractional coordinates:
Mg (0.0000, 0.0000, 0.0000) (multiplicity 1)  5 Si 2.71-2.94
Mg (0.5000, 0.0000, 0.3548) (multiplicity 1)  4 Si 2.76-2.78, 4 Zr 2.87
Zr (0.0000, 0.5000, 0.3511) (multiplicity 1)  4 Si 2.74-2.81, 4 Mg 2.87
Zr (0.5000, 0.5000, 0.7105) (multiplicity 1)  5 Si 2.71-2.94
Si (0.0000, 0.0000, 0.6202) (multiplicity 1)  3 Mg 2.71-2.76, 6 Zr 2.81-2.94
Si (0.5000, 0.5000, 0.0906) (multiplicity 1)  3 Zr 2.71-2.74, 6 Mg 2.78-2.94

Values from the calculation:
raw total energy: -33.17 eV for the cell shown
total magnetic moment: 0.00 μB per formula unit

This record from Alexandria describes a geometry-optimized Mo2PbBr structure. The functional is PBE.

Cell lengths 3.2386, 3.2386, 8.5032 Å; angles 90.00, 90.00, 90.00 degrees
Last column: nearest neighbours and their distance in Å.
Space group P4mm (No. 99)
Inequivalent atoms, fractional coordinates:
Mo (0.0000, 0.0000, 0.0000) (multiplicity 1)  4 Mo 2.64
Mo (0.5000, 0.5000, 0.1547) (multiplicity 1)  4 Mo 2.64
Pb (0.0000, 0.0000, 0.4053) (multiplicity 1)  5 Mo 3.13-3.45, 4 Pb 3.24
Br (0.5000, 0.5000, 0.7763) (multiplicity 1)  5 Mo 2.98-3.22, 4 Br 3.24

Values from the calculation:
offset from the most stable computed form: 0.115 eV per atom
raw total energy: -25.74 eV for the cell shown
total magnetic moment: 0.00 μB per formula unit

This record from Alexandria describes a geometry-optimized Rb3IrRh structure. The functional is PBE.

Cell lengths 5.9086, 5.9086, 5.9086 Å; angles 90.00, 90.00, 90.00 degrees
Last column: nearest neighbours and their distance in Å.
Space group Pm-3m (No. 221)
Inequivalent atoms, fractional coordinates:
Rb (0.0000, 0.0000, 0.5000) (multiplicity 3)  2 Rh 2.95
Ir (0.5000, 0.5000, 0.5000) (multiplicity 1)  12 Rb 4.18
Rh (0.0000, 0.0000, 0.0000) (multiplicity 1)  6 Rb 2.95

Values from the calculation:
offset from the most stable computed form: 0.000 eV per atom
formation enthalpy at 0 K: 1.345 eV per atom
raw total energy: -12.39 eV for the cell shown
total magnetic moment: 1.58 μB per formula unit

This record from Alexandria describes a geometry-optimized Tm2Al9Pd3 structure. The functional is PBE.

Cell lengths 13.1927, 7.6905, 9.4083 Å; angles 90.00, 90.00, 90.00 degrees
Last column: nearest neighbours and their distance in Å.
Space group Cmcm (No. 63)
Inequivalent atoms, fractional coordinates:
Tm (0.1613, 0.1678, 0.2500) (multiplicity 8)  11 Al 3.05-3.20
Al (0.0000, 0.1290, 0.7500) (multiplicity 4)  2 Pd 2.55, 6 Al 2.76-2.79
Al (0.0000, 0.3327, 0.0591) (multiplicity 8)  3 Pd 2.62-2.67, 5 Al 2.80-2.86
Al (0.1049, 0.4435, 0.7500) (multiplicity 8)  2 Pd 2.55, 6 Al 2.77-2.85
Al (0.1677, 0.1675, 0.5780) (multiplicity 16)  3 Pd 2.58-2.66, 3 Al 2.76-2.86
Pd (0.0000, 0.0000, 0.0000) (multiplicity 4)  8 Al 2.55-2.66
Pd (0.1721, 0.5000, 0.0000) (multiplicity 8)  8 Al 2.55-2.67

Values from the calculation:
formation enthalpy at 0 K: -0.672 eV per atom
raw total energy: -270.47 eV for the cell shown
total magnetic moment: 0.00 μB per formula unit

This record from Alexandria describes a geometry-optimized Pm2PdAu2 structure. The functional is PBE.

Cell lengths 10.6890, 4.0363, 11.7043 Å; angles 90.00, 110.33, 90.00 degrees
Last column: nearest neighbours and their distance in Å.
Space group C2/m (No. 12)
Inequivalent atoms, fractional coordinates:
Pm (0.0049, 0.0000, 0.3397) (multiplicity 4)  3 Pd 3.02-3.15, 6 Au 3.12-3.26
Pm (0.1814, 0.0000, 0.1132) (multiplicity 4)  5 Au 2.96-3.22, 2 Pd 2.98
Pd (0.1998, 0.5000, 0.3062) (multiplicity 4)  4 Au 2.78-3.04, 4 Pm 2.98-3.02
Au (0.0431, 0.5000, 0.8903) (multiplicity 4)  1 Pd 2.81, 3 Pm 2.96-3.12, 1 Au 3.01
Au (0.1491, 0.5000, 0.5465) (multiplicity 4)  3 Pd 2.78-3.04, 1 Au 2.99

Values from the calculation:
formation enthalpy at 0 K: -0.823 eV per atom
raw total energy: -101.45 eV for the cell shown
total magnetic moment: 0.00 μB per formula unit

This record from Alexandria describes a geometry-optimized YGaCoCu structure. The functional is PBE.

Cell lengths 6.3668, 6.3668, 6.3668 Å; angles 90.00, 90.00, 90.00 degrees
Last column: nearest neighbours and their distance in Å.
Space group F-43m (No. 216)
Inequivalent atoms, fractional coordinates:
Y (0.0000, 0.0000, 0.0000) (multiplicity 4)  4 Co 2.76, 4 Cu 2.76
Ga (0.0000, 0.0000, 0.5000) (multiplicity 4)  4 Co 2.76, 4 Cu 2.76
Co (0.2500, 0.2500, 0.7500) (multiplicity 4)  4 Y 2.76, 4 Ga 2.76
Cu (0.2500, 0.2500, 0.2500) (multiplicity 4)  4 Y 2.76, 4 Ga 2.76

Values from the calculation:
formation enthalpy at 0 K: -0.184 eV per atom
raw total energy: -85.71 eV for the cell shown
total magnetic moment: 0.56 μB per formula unit

This record from Alexandria describes a geometry-optimized K2ThCl6 structure. The functional is PBE.

Cell lengths 7.8006, 7.5518, 14.8063 Å; angles 90.00, 121.74, 90.00 degrees
Last column: nearest neighbours and their distance in Å.
Space group P2_1/c (No. 14)
Inequivalent atoms, fractional coordinates:
K (0.1915, 0.0008, 0.1919) (multiplicity 4)  6 Cl 3.17-3.24
Th (0.5000, 0.0000, 0.0000) (multiplicity 2)  6 Cl 2.69-2.71
Cl (0.2050, 0.7057, 0.3478) (multiplicity 4)  1 Th 2.71
Cl (0.2080, 0.1893, 0.9997) (multiplicity 4)  1 Th 2.69
Cl (0.4900, 0.2040, 0.8469) (multiplicity 4)  1 Th 2.71

Values from the calculation:
raw total energy: -79.71 eV for the cell shown
total magnetic moment: 0.00 μB per formula unit

This record from Alexandria describes a geometry-optimized BaAg2Pb3 structure. The functional is PBE.

Cell lengths 12.1280, 10.3482, 5.9347 Å; angles 90.00, 90.00, 90.00 degrees
Last column: nearest neighbours and their distance in Å.
Space group Cmcm (No. 63)
Inequivalent atoms, fractional coordinates:
Ba (0.0000, 0.1782, 0.2500) (multiplicity 4)  9 Pb 3.76-4.12, 4 Ag 3.99
Ag (0.2349, 0.5000, 0.0000) (multiplicity 8)  2 Ag 2.97, 6 Pb 2.99-3.25
Pb (0.0000, 0.4547, 0.7500) (multiplicity 4)  4 Pb 3.11-3.21, 4 Ag 3.25
Pb (0.1848, 0.2320, 0.7500) (multiplicity 8)  4 Ag 2.99-3.20, 1 Pb 3.21

Values from the calculation:
offset from the most stable computed form: 0.047 eV per atom
formation enthalpy at 0 K: -0.140 eV per atom
raw total energy: -78.36 eV for the cell shown
total magnetic moment: 0.00 μB per formula unit

This record from Alexandria describes a geometry-optimized DyHoNp2S4 structure. The functional is PBE.

Cell lengths 6.7506, 3.9012, 6.7700 Å; angles 90.00, 109.43, 90.00 degrees
Last column: nearest neighbours and their distance in Å.
Space group P2/m (No. 10)
Inequivalent atoms, fractional coordinates:
Dy (0.0000, 0.0000, 0.0000) (multiplicity 1)  6 S 2.76
Ho (0.0000, 0.5000, 0.5000) (multiplicity 1)  6 S 2.75
Np (0.5000, 0.0000, 0.5000) (multiplicity 1)  6 S 2.76
Np (0.5000, 0.5000, 0.0000) (multiplicity 1)  6 S 2.77
S (0.2484, 0.0000, 0.7485) (multiplicity 2)  2 Ho 2.75, 1 Dy 2.76, 3 Np 2.76-2.77
S (0.2491, 0.5000, 0.2505) (multiplicity 2)  1 Ho 2.75, 2 Dy 2.76, 3 Np 2.76-2.77

Values from the calculation:
raw total energy: -65.10 eV for the cell shown
total magnetic moment: 8.74 μB per formula unit

This record from Alexandria describes a geometry-optimized SnSb2TeBr structure. The functional is PBE.

Cell lengths 5.4884, 5.4884, 5.7795 Å; angles 90.00, 90.00, 90.00 degrees
Last column: nearest neighbours and their distance in Å.
Space group P4/mmm (No. 123)
Inequivalent atoms, fractional coordinates:
Sn (0.0000, 0.0000, 0.0000) (multiplicity 1)  4 Te 3.88, 8 Sb 3.99
Sb (0.0000, 0.5000, 0.5000) (multiplicity 2)  2 Br 2.74
Te (0.5000, 0.5000, 0.0000) (multiplicity 1)  2 Br 2.89
Br (0.5000, 0.5000, 0.5000) (multiplicity 1)  4 Sb 2.74, 2 Te 2.89

Values from the calculation:
offset from the most stable computed form: 0.139 eV per atom
raw total energy: -13.29 eV for the cell shown
total magnetic moment: 0.00 μB per formula unit

Question: Among the records above, which one has the lowest raw total energy?
Answer: Tm2Al9Pd3

Question: Which of these has the highest total magnetic moment?
Answer: DyHoNp2S4